No. 1
Density functional theory data (PBE) for crystalline Mg2PtPb at its relaxed geometry.

Structure (POSCAR):
```
Mg2PtPb
1.0
-1.970 0.123 -4.926
3.105 -2.785 -3.282
-2.190 -1.169 4.690
Mg Pt Pb
2 1 1
Direct
0.250 0.750 0.500 Mg
0.000 0.000 0.000 Mg
0.750 0.250 0.500 Pt
0.500 0.500 0.000 Pb
```

Calculated values
Calculated density   9.32 g/cm3
Formation energy   -0.2913 eV/atom
Magnetic moment   0.00 μB per cell

***

No. 2
Density functional theory data (PBE) for crystalline Mg2PtPb at its relaxed geometry.

Structure (POSCAR):
```
Mg2PtPb
1.0
5.033 -0.107 0.076
3.082 3.981 0.076
2.005 0.957 3.952
Pb Pt Mg
1 1 2
Direct
0.750 0.750 0.750 Pb
0.250 0.250 0.250 Pt
0.000 0.000 0.000 Mg
0.500 0.500 0.500 Mg
```

Calculated values
Calculated density   9.39 g/cm3
Formation energy   -0.3324 eV/atom
Magnetic moment   0.00 μB per cell

***

Number 1: total energy -14.10 eV/cell. Number 2: total energy -14.27 eV/cell.